Material: Y4BiP2
Method: DFT, PBE-GGA
State: optimized geometry

Cell lengths 4.1336, 6.9274, 13.6136 Å; angles 90.00, 90.00, 107.36 degrees
Atoms (fractional coordinates):
P 0.1334 0.2668 0.4415
P 0.1334 0.2668 0.0585
P 0.8666 0.7332 0.9415
P 0.8666 0.7332 0.5585
Y 0.2373 0.4746 0.8856
Y 0.5000 0.0000 0.0000
Y 0.7627 0.5254 0.3856
Y 0.7627 0.5254 0.1144
Y 0.9328 0.8656 0.7500
Y 0.0672 0.1344 0.2500
Y 0.5000 0.0000 0.5000
Y 0.2373 0.4746 0.6144
Bi 0.3907 0.7813 0.2500
Bi 0.6093 0.2187 0.7500

Properties
* E: -98.29 eV/cell
* energy of formation from the pure elements: -118.4 kJ/mol of atoms